No. 1
VASP calculation (PBE-GGA) on a relaxed Ho5Sc3Se8 crystal.

Structure (POSCAR):
```
Ho5Sc3Se8
1.0
3.9952 2.3066 6.5118
-3.9952 2.3066 6.5118
0.0000 -4.6133 6.5118
Ho Sc Se
5 3 8
Direct
0.0000 0.0000 0.0000
0.0000 0.5000 0.5000
0.5000 0.0000 0.5000
0.5000 0.5000 0.0000
0.5000 0.5000 0.5000
0.0000 0.0000 0.5000
0.0000 0.5000 0.0000
0.5000 0.0000 0.0000
0.2410 0.7500 0.7500
0.2455 0.2455 0.2455
0.2500 0.2500 0.7590
0.2500 0.7590 0.2500
0.7500 0.2410 0.7500
0.7500 0.7500 0.2410
0.7545 0.7545 0.7545
0.7590 0.2500 0.2500
```

Output
The space-group type is R-3m (166). Its uncorrected energy is -6.022 eV per atom.


No. 2
VASP calculation (PBE-GGA) on a relaxed HoSc2Se2 crystal.

Structure (POSCAR):
```
HoSc2Se2
1.0
1.8951 1.0942 9.3919
-1.8951 1.0942 9.3919
0.0000 -2.1883 9.3919
Ho Sc Se
1 2 2
Direct
0.0000 0.0000 0.0000
0.2108 0.2108 0.2108
0.7892 0.7892 0.7892
0.3974 0.3974 0.3974
0.6026 0.6026 0.6026
```

Output
The space-group type is R-3m (166). Its uncorrected energy is -6.127 eV per atom.


No. 3
VASP calculation (PBE-GGA) on a relaxed Ho4ScSe7 crystal.

Structure (POSCAR):
```
Ho4ScSe7
1.0
6.5765 -1.9605 0.0000
6.5765 1.9605 0.0000
-3.0075 0.0000 11.6585
Ho Sc Se
4 1 7
Direct
0.0000 0.0000 0.0000
0.1885 0.1885 0.7629
0.5867 0.5867 0.3772
0.8872 0.8872 0.5690
0.7756 0.7756 0.1485
0.1537 0.1537 0.2185
0.2261 0.2261 0.5204
0.3830 0.3830 0.0763
0.5478 0.5478 0.6219
0.6321 0.6321 0.9298
0.8501 0.8501 0.7878
0.9236 0.9236 0.3498
```

Output
The space-group type is Cm (8). Its uncorrected energy is -5.906 eV per atom.


No. 4
VASP calculation (PBE-GGA) on a relaxed Ho2ScSe3 crystal.

Structure (POSCAR):
```
Ho2ScSe3
1.0
-2.0048 2.8273 5.9884
2.0048 -2.8273 5.9884
2.0048 2.8273 -5.9884
Ho Sc Se
2 1 3
Direct
0.1706 0.1706 0.0000
0.8294 0.8294 0.0000
0.5000 0.5000 0.0000
0.0000 0.5000 0.5000
0.3411 0.8411 0.5000
0.6589 0.1589 0.5000
```

Output
The space-group type is Immm (71). Its uncorrected energy is -5.992 eV per atom.


No. 5
VASP calculation (PBE-GGA) on a relaxed HoScSe2 crystal.

Structure (POSCAR):
```
HoScSe2
1.0
4.1162 0.0000 0.0000
0.0000 8.8582 0.0000
0.0000 0.0000 6.2719
Ho Sc Se
2 2 4
Direct
0.0000 0.0939 0.0000
0.5000 0.9061 0.5000
0.0000 0.6577 0.8704
0.5000 0.3423 0.3704
0.0000 0.4080 0.1282
0.0000 0.8244 0.2134
0.5000 0.1756 0.7134
0.5000 0.5920 0.6282
```

Output
The space-group type is Pmn2_1 (31). Its uncorrected energy is -5.802 eV per atom.


No. 6
VASP calculation (PBE-GGA) on a relaxed HoSc6Se8 crystal.

Structure (POSCAR):
```
HoSc6Se8
1.0
0.0000 5.4762 5.4762
5.4762 0.0000 5.4762
5.4762 5.4762 0.0000
Ho Sc Se
1 6 8
Direct
0.0000 0.0000 0.0000
0.0000 0.0000 0.5000
0.0000 0.5000 0.0000
0.0000 0.5000 0.5000
0.5000 0.0000 0.0000
0.5000 0.0000 0.5000
0.5000 0.5000 0.0000
0.2500 0.2500 0.2500
0.2596 0.2596 0.7404
0.2596 0.7404 0.2596
0.2596 0.7404 0.7404
0.7404 0.2596 0.2596
0.7404 0.2596 0.7404
0.7404 0.7404 0.2596
0.7500 0.7500 0.7500
```

Output
The space-group type is Fm-3m (225). Its uncorrected energy is -6.384 eV per atom.


No. 7
VASP calculation (PBE-GGA) on a relaxed Ho2ScSe4 crystal.

Structure (POSCAR):
```
Ho2ScSe4
1.0
1.9332 -6.6479 0.0000
1.9332 6.6479 0.0000
0.0000 0.0000 13.6372
Ho Sc Se
4 2 8
Direct
0.1308 0.8692 0.5740
0.1308 0.8692 0.9260
0.8692 0.1308 0.0740
0.8692 0.1308 0.4260
0.3686 0.6314 0.7500
0.6314 0.3686 0.2500
0.0185 0.9815 0.7500
0.2199 0.7801 0.1244
0.2199 0.7801 0.3756
0.5000 0.5000 0.0000
0.5000 0.5000 0.5000
0.7801 0.2199 0.6244
0.7801 0.2199 0.8756
0.9815 0.0185 0.2500
```

Output
The space-group type is Cmcm (63). Its uncorrected energy is -5.925 eV per atom.


No. 8
VASP calculation (PBE-GGA) on a relaxed Ho2ScSe4 crystal.

Structure (POSCAR):
```
Ho2ScSe4
1.0
-3.9914 3.9996 5.5366
3.9914 -3.9996 5.5366
3.9914 3.9996 -5.5366
Ho Sc Se
4 2 8
Direct
0.0000 0.0000 0.0000
0.5000 0.0000 0.0000
0.5000 0.0000 0.5000
0.5000 0.5000 0.5000
0.0000 0.0000 0.5000
0.0000 0.5000 0.0000
0.2333 0.7412 0.4920
0.2452 0.2479 0.5027
0.2452 0.7425 0.9973
0.2508 0.2588 0.9920
0.7492 0.7412 0.0080
0.7548 0.2575 0.0027
0.7548 0.7521 0.4973
0.7667 0.2588 0.5080
```

Output
The space-group type is Imma (74). Its uncorrected energy is -6.009 eV per atom.


No. 9
VASP calculation (PBE-GGA) on a relaxed Ho2Sc2Se3 crystal.

Structure (POSCAR):
```
Ho2Sc2Se3
1.0
6.6440 -1.8990 0.0000
6.6440 1.8990 0.0000
-6.4082 0.0000 6.9632
Ho Sc Se
2 2 3
Direct
0.0684 0.0684 0.3542
0.9316 0.9316 0.6458
0.2504 0.2504 0.1440
0.7496 0.7496 0.8560
0.3317 0.3317 0.7475
0.5000 0.5000 0.5000
0.6683 0.6683 0.2525
```

Output
The space-group type is C2/m (12). Its uncorrected energy is -5.923 eV per atom.


No. 10
VASP calculation (PBE-GGA) on a relaxed HoSc3Se2 crystal.

Structure (POSCAR):
```
HoSc3Se2
1.0
7.5456 -1.8817 0.0000
7.5456 1.8817 0.0000
-3.3574 0.0000 9.5488
Ho Sc Se
2 6 4
Direct
0.1223 0.1223 0.0398
0.8777 0.8777 0.9602
0.0599 0.0599 0.4040
0.2824 0.2824 0.6227
0.3754 0.3754 0.3253
0.6246 0.6246 0.6747
0.7176 0.7176 0.3773
0.9401 0.9401 0.5960
0.2300 0.2300 0.8513
0.4828 0.4828 0.8250
0.5172 0.5172 0.1750
0.7700 0.7700 0.1487
```

Output
The space-group type is C2/m (12). Its uncorrected energy is -6.132 eV per atom.


No. 11
VASP calculation (PBE-GGA) on a relaxed HoSc2Se crystal.

Structure (POSCAR):
```
HoSc2Se
1.0
1.8656 -5.5929 0.0000
1.8656 5.5929 0.0000
0.0000 0.0000 8.8005
Ho Sc Se
2 4 2
Direct
0.0581 0.9419 0.7500
0.9419 0.0581 0.2500
0.3597 0.6403 0.5437
0.3597 0.6403 0.9563
0.6403 0.3597 0.0437
0.6403 0.3597 0.4563
0.2348 0.7652 0.2500
0.7652 0.2348 0.7500
```

Output
The space-group type is Cmcm (63). Its uncorrected energy is -5.982 eV per atom.


No. 12
VASP calculation (PBE-GGA) on a relaxed HoSc2Se crystal.

Structure (POSCAR):
```
HoSc2Se
1.0
1.7730 1.0236 9.6731
-1.7730 1.0236 9.6731
0.0000 -2.0473 9.6731
Ho Sc Se
1 2 1
Direct
0.0000 0.0000 0.0000
0.1094 0.1094 0.1094
0.8906 0.8906 0.8906
0.5000 0.5000 0.5000
```

Output
The space-group type is R-3m (166). Its uncorrected energy is -5.665 eV per atom.